Entry 1:
DFT (GGA-PBE) results for RbCaMgH2 after structural relaxation.

Computed properties:
VASP energy   -1.900 eV per atom
Fermi-level density of states   3.3 states/eV per cell

Cell: 4.733 8.585 4.733 Å, 90.00 90.00 90.00°
Sites, in units of the cell vectors:
H 0.000 0.000 0.500
H 0.500 0.000 0.000
Ca 0.000 0.000 0.000
Mg 0.500 0.500 0.500
Rb 0.000 0.500 0.000

***

Entry 2:
DFT (GGA-PBE) results for Ca2MgH6Rh after structural relaxation.

Computed properties:
VASP energy   -3.641 eV per atom
Fermi-level density of states   2.4 states/eV per cell

Cell: 5.028 5.201 5.201 Å, 120.00 90.00 90.00°
Sites, in units of the cell vectors:
Ca 0.197 0.333 0.667
Ca 0.803 0.667 0.333
Mg 0.500 0.000 0.000
H 0.787 0.163 0.325
H 0.787 0.163 0.837
H 0.787 0.675 0.837
H 0.213 0.837 0.163
H 0.213 0.325 0.163
H 0.213 0.837 0.675
Rh 0.000 0.000 0.000